[1]
Below is a crystal of Zn3RhPb relaxed with PBEsol, with properties calculated at the meta-GGA SCAN level.

The energy relative to the elements comes out at 1.2851 eV/atom. The value obtained for the theoretical density is 6.93 g cm⁻³. Its total magnetization is 0.31 μB/atom. For the energy, the calculation gives -28.735 eV/atom.

It has space group Pm-3m (No. 221), with a = 4.9511 Å, b = 4.9511 Å, c = 4.9511 Å, α = 90.00°, β = 90.00° and γ = 90.00°. The asymmetric unit holds Zn at (0.0000, 0.0000, 0.5000), Rh at (0.5000, 0.5000, 0.5000) and Pb at (0.0000, 0.0000, 0.0000).

[2]
Below is a crystal of ZnRhPb2 relaxed with PBEsol, with properties calculated at the meta-GGA SCAN level.

The energy relative to the elements comes out at 0.1758 eV/atom. The value obtained for the theoretical density is 11.60 g cm⁻³. Its total magnetization is 0.00 μB/atom. For the energy, the calculation gives -49.536 eV/atom.

It has space group P4/mmm (No. 123), with a = 3.2979 Å, b = 3.2979 Å, c = 7.6690 Å, α = 90.00°, β = 90.00° and γ = 90.00°. The asymmetric unit holds Zn at (0.0000, 0.0000, 0.0000), Rh at (0.0000, 0.0000, 0.5000) and Pb at (0.5000, 0.5000, 0.2788).

[3]
Below is a crystal of ZrRh2Pb relaxed with PBEsol, with properties calculated at the meta-GGA SCAN level.

The energy relative to the elements comes out at -0.5163 eV/atom. The value obtained for the theoretical density is 11.80 g cm⁻³. Its total magnetization is 0.00 μB/atom. For the energy, the calculation gives -44.022 eV/atom.

It has space group P4/mmm (No. 123), with a = 3.3916 Å, b = 3.3916 Å, c = 6.1703 Å, α = 90.00°, β = 90.00° and γ = 90.00°. The asymmetric unit holds Zr at (0.0000, 0.0000, 0.0000), Rh at (0.5000, 0.5000, 0.2336) and Pb at (0.0000, 0.0000, 0.5000).

[4]
Below is a crystal of ZrRhPb relaxed with PBEsol, with properties calculated at the meta-GGA SCAN level.

The energy relative to the elements comes out at -0.3912 eV/atom. The value obtained for the theoretical density is 11.35 g cm⁻³. Its total magnetization is 0.00 μB/atom. For the energy, the calculation gives -47.142 eV/atom.

It has space group I4mm (No. 107), with a = 3.2465 Å, b = 3.2465 Å, c = 11.1425 Å, α = 90.00°, β = 90.00° and γ = 90.00°. The asymmetric unit holds Zr at (0.0000, 0.0000, 0.0000), Rh at (0.0000, 0.0000, 0.3663) and Pb at (0.0000, 0.0000, 0.6994).

[5]
Below is a crystal of Zr3RhPb relaxed with PBEsol, with properties calculated at the meta-GGA SCAN level.

The energy relative to the elements comes out at 1.3699 eV/atom. The value obtained for the theoretical density is 6.84 g cm⁻³. Its total magnetization is 0.00 μB/atom. For the energy, the calculation gives -38.960 eV/atom.

It has space group Pm-3m (No. 221), with a = 5.2144 Å, b = 5.2144 Å, c = 5.2144 Å, α = 90.00°, β = 90.00° and γ = 90.00°. The asymmetric unit holds Zr at (0.0000, 0.0000, 0.5000), Rh at (0.5000, 0.5000, 0.5000) and Pb at (0.0000, 0.0000, 0.0000).

[6]
Below is a crystal of ZrRhPb2 relaxed with PBEsol, with properties calculated at the meta-GGA SCAN level.

The energy relative to the elements comes out at -0.1646 eV/atom. The value obtained for the theoretical density is 11.68 g cm⁻³. Its total magnetization is 0.00 μB/atom. For the energy, the calculation gives -54.173 eV/atom.

It has space group Cm (No. 8), with a = 10.9187 Å, b = 3.3120 Å, c = 5.2360 Å, α = 90.00°, β = 113.98° and γ = 90.00°. The asymmetric unit holds Zr at (0.0000, 0.0000, 0.0000), Rh at (0.1884, 0.5000, 0.3115), Pb at (0.2209, 0.0000, 0.7975) and Pb at (0.4346, 0.0000, 0.4444).

[7]
Below is a crystal of ZrRhPb2 relaxed with PBEsol, with properties calculated at the meta-GGA SCAN level.

The energy relative to the elements comes out at -0.1044 eV/atom. The value obtained for the theoretical density is 12.32 g cm⁻³. Its total magnetization is 0.00 μB/atom. For the energy, the calculation gives -54.113 eV/atom.

It has space group P4/mmm (No. 123), with a = 4.5010 Å, b = 4.5010 Å, c = 4.0488 Å, α = 90.00°, β = 90.00° and γ = 90.00°. The asymmetric unit holds Zr at (0.0000, 0.0000, 0.0000), Rh at (0.5000, 0.5000, 0.0000) and Pb at (0.0000, 0.5000, 0.5000).

[8]
Below is a crystal of RuPb relaxed with PBEsol, with properties calculated at the meta-GGA SCAN level.

The energy relative to the elements comes out at 0.6795 eV/atom. The value obtained for the theoretical density is 13.80 g cm⁻³. Its total magnetization is 0.00 μB/atom. For the energy, the calculation gives -54.624 eV/atom.

It has space group P6_3/mmc (No. 194), with a = 3.2292 Å, b = 3.2292 Å, c = 8.2145 Å, α = 90.00°, β = 90.00° and γ = 120.00°. The asymmetric unit holds Ru at (0.3333, 0.6667, 0.2500) and Pb at (0.0000, 0.0000, 0.0000).

[9]
Below is a crystal of RuPb relaxed with PBEsol, with properties calculated at the meta-GGA SCAN level.

The energy relative to the elements comes out at 0.7717 eV/atom. The value obtained for the theoretical density is 13.79 g cm⁻³. Its total magnetization is 0.44 μB/atom. For the energy, the calculation gives -54.532 eV/atom.

It has space group I4_1/amd (No. 141, origin choice 2), with a = 3.8759 Å, b = 3.8759 Å, c = 9.8869 Å, α = 90.00°, β = 90.00° and γ = 90.00°. The asymmetric unit holds Ru at (0.0000, 0.2500, 0.3750) and Pb at (0.0000, 0.2500, 0.8750).

[10]
Below is a crystal of Ru3Pb relaxed with PBEsol, with properties calculated at the meta-GGA SCAN level.

The energy relative to the elements comes out at 0.5700 eV/atom. The value obtained for the theoretical density is 13.62 g cm⁻³. Its total magnetization is 0.00 μB/atom. For the energy, the calculation gives -44.495 eV/atom.

It has space group P4/mmm (No. 123), with a = 2.8825 Å, b = 2.8825 Å, c = 7.4898 Å, α = 90.00°, β = 90.00° and γ = 90.00°. The asymmetric unit holds Ru at (0.0000, 0.0000, 0.0000), Ru at (0.5000, 0.5000, 0.2249) and Pb at (0.0000, 0.0000, 0.5000).

[11]
Below is a crystal of Ru3Pb relaxed with PBEsol, with properties calculated at the meta-GGA SCAN level.

The energy relative to the elements comes out at 0.8458 eV/atom. The value obtained for the theoretical density is 13.46 g cm⁻³. Its total magnetization is 0.91 μB/atom. For the energy, the calculation gives -44.219 eV/atom.

It has space group R-3m (No. 166, hexagonal axes), with a = 8.7276 Å, b = 8.7276 Å, c = 2.8645 Å, α = 90.00°, β = 90.00° and γ = 120.00°. The asymmetric unit holds Ru at (0.0000, 0.5000, 0.0000) and Pb at (0.0000, 0.0000, 0.0000).

[12]
Below is a crystal of Ru3PbS relaxed with PBEsol, with properties calculated at the meta-GGA SCAN level.

For the uncorrected formation energy, the calculation gives 553 meV/atom. The value obtained for the theoretical density is 10.91 g cm⁻³. Its total magnetization is 0.00 μB/atom. For the energy, the calculation gives -37.424 eV/atom.

It has space group Pm-3m (No. 221), with a = 4.3551 Å, b = 4.3551 Å, c = 4.3551 Å, α = 90.00°, β = 90.00° and γ = 90.00°. The asymmetric unit holds Ru at (0.0000, 0.0000, 0.5000), Pb at (0.5000, 0.5000, 0.5000) and S at (0.0000, 0.0000, 0.0000).

[13]
Below is a crystal of Sc2RuPb relaxed with PBEsol, with properties calculated at the meta-GGA SCAN level.

The energy relative to the elements comes out at -0.6772 eV/atom. The value obtained for the theoretical density is 8.30 g cm⁻³. Its total magnetization is 0.00 μB/atom. For the energy, the calculation gives -35.448 eV/atom.

It has space group P4/mmm (No. 123), with a = 3.2165 Å, b = 3.2165 Å, c = 7.7018 Å, α = 90.00°, β = 90.00° and γ = 90.00°. The asymmetric unit holds Sc at (0.0000, 0.0000, 0.1979), Ru at (0.5000, 0.5000, 0.0000) and Pb at (0.5000, 0.5000, 0.5000).

[14]
Below is a crystal of ScRuPb relaxed with PBEsol, with properties calculated at the meta-GGA SCAN level.

The energy relative to the elements comes out at -0.2739 eV/atom. The value obtained for the theoretical density is 10.55 g cm⁻³. Its total magnetization is 0.00 μB/atom. For the energy, the calculation gives -41.889 eV/atom.

It has space group Imm2 (No. 44), with a = 3.2773 Å, b = 3.7408 Å, c = 9.0723 Å, α = 90.00°, β = 90.00° and γ = 90.00°. The asymmetric unit holds Sc at (0.0000, 0.0000, 0.0000), Ru at (0.0000, 0.0000, 0.3528) and Pb at (0.0000, 0.0000, 0.6862).

[15]
Below is a crystal of ScRuPb relaxed with PBEsol, with properties calculated at the meta-GGA SCAN level.

The energy relative to the elements comes out at 0.2770 eV/atom. The value obtained for the theoretical density is 9.04 g cm⁻³. Its total magnetization is 0.00 μB/atom. For the energy, the calculation gives -41.338 eV/atom.

It has space group F-43m (No. 216), with a = 6.3779 Å, b = 6.3779 Å, c = 6.3779 Å, α = 90.00°, β = 90.00° and γ = 90.00°. The asymmetric unit holds Sc at (0.0000, 0.0000, 0.0000), Ru at (0.2500, 0.2500, 0.2500) and Pb at (0.2500, 0.2500, 0.7500).